[1]
A geometry-optimized NaRuC2O8 structure. Source: the Alexandria database, functional PBE-GGA.

The space group is C2/m (No. 12) and the conventional cell measures 7.6395, 4.9364 and 7.2147 Å, with angles of 90.00, 91.16 and 90.00 degrees. The inequivalent atoms are Na at (0.0000, 0.0000, 0.0000), Ru at (0.0000, 0.0000, 0.5000), C at (0.1421, 0.5000, 0.2908), O at (0.0273, 0.2705, 0.3078), O at (0.2191, 0.5000, 0.1344) and O at (0.2450, 0.0000, 0.5472).

The calculation puts the spin magnetization at 0.00 Bohr magnetons per cell. As for the uncorrected formation energy: -0.88 eV/atom.



[2]
A geometry-optimized YTa2Sb structure. Source: the Alexandria database, functional PBE-GGA.

The space group is Cm (No. 8) and the conventional cell measures 9.2424, 3.3996 and 5.9364 Å, with angles of 90.00, 99.28 and 90.00 degrees. The inequivalent atoms are Y at (0.0000, 0.0000, 0.0000), Ta at (0.0122, 0.5000, 0.4842), Ta at (0.2721, 0.5000, 0.3122) and Sb at (0.2486, 0.0000, 0.7071).

The calculation puts the spin magnetization at 0.00 Bohr magnetons per cell. As for the uncorrected formation energy: 0.13 eV/atom.